No. 1
Material: Ce2ThGe6
Method: DFT, GGA-PBE
State: optimized geometry

Computed properties:
* formation energy from the elements: -0.547 eV/atom

Structure (POSCAR):
```
Ce2ThGe6
1.0
4.0679 0.0000 0.0000
0.0000 6.5807 -3.7994
0.0000 0.0000 7.5987
Ge Ce Th
6 2 1
Direct
0.5000 0.0000 0.6656
0.5000 0.6656 0.6656
0.5000 0.0000 0.3344
0.5000 0.3344 0.0000
0.5000 0.3344 0.3344
0.5000 0.6656 0.0000
0.0000 0.3333 0.6667
0.0000 0.6667 0.3333
0.0000 0.0000 0.0000
```

No. 2
Material: ReAs
Method: DFT, GGA-PBE
State: optimized geometry

Computed properties:
* formation energy from the elements: 0.155 eV/atom

Structure (POSCAR):
```
ReAs
1.0
3.0510 0.0000 0.0000
0.0000 4.4728 0.0000
0.0000 0.0000 4.4843
As Re
2 2
Direct
0.5000 0.8777 0.5000
0.0000 0.1223 0.0000
0.0000 0.3945 0.5000
0.5000 0.6055 0.0000
```